[1]
Material: BaYTc2
Method: DFT, PBE
State: optimized geometry Values from VASP.

Geometry as Quantum ESPRESSO input:
```
&SYSTEM
  ibrav = 0, nat = 4, ntyp = 3
/
ATOMIC_SPECIES
Tc 98.00 Tc.upf
Y 88.91 Y.upf
Ba 137.33 Ba.upf
CELL_PARAMETERS angstrom
3.291 -0.008 0.000
0.007 3.291 0.000
0.000 0.000 9.315
ATOMIC_POSITIONS crystal
Tc 0.500 0.500 0.201
Tc 0.000 0.000 0.077
Y 0.000 0.000 0.416
Ba 0.500 0.500 0.806
```

Computed properties:
DFT formation energy in eV per atom: 0.339
Magnetization in μB per cell: 0.00
SG: No. 99
D(E_F) in states/eV per atom: 1.133


[2]
Material: BaYTc2
Method: DFT, PBE
State: optimized geometry Values from VASP.

Geometry as Quantum ESPRESSO input:
```
&SYSTEM
  ibrav = 0, nat = 4, ntyp = 3
/
ATOMIC_SPECIES
Ba 137.33 Ba.upf
Y 88.91 Y.upf
Tc 98.00 Tc.upf
CELL_PARAMETERS angstrom
-0.289 3.805 -1.295
-0.941 -1.077 -2.955
-8.626 -0.564 0.271
ATOMIC_POSITIONS crystal
Ba 0.500 0.806 0.814
Y 0.000 0.486 0.400
Tc 0.500 0.222 0.192
Tc 0.000 0.987 0.094
```

Computed properties:
DFT formation energy in eV per atom: 0.394
Magnetization in μB per cell: 0.00
SG: No. 6
D(E_F) in states/eV per atom: 1.249


[3]
Material: Ba3YTc
Method: DFT, PBE
State: optimized geometry Values from VASP.

Geometry as Quantum ESPRESSO input:
```
&SYSTEM
  ibrav = 0, nat = 5, ntyp = 3
/
ATOMIC_SPECIES
Ba 137.33 Ba.upf
Y 88.91 Y.upf
Tc 98.00 Tc.upf
CELL_PARAMETERS angstrom
5.958 0.000 0.000
0.000 5.958 0.000
0.000 0.000 5.958
ATOMIC_POSITIONS crystal
Ba 0.000 0.000 0.500
Ba 0.500 0.000 0.000
Ba 0.000 0.500 0.000
Y 0.500 0.500 0.500
Tc 0.000 0.000 0.000
```

Computed properties:
DFT formation energy in eV per atom: 0.705
Magnetization in μB per cell: 0.00
SG: No. 221
D(E_F) in states/eV per atom: 1.692


[4]
Material: BaYTc2
Method: DFT, PBE
State: optimized geometry Values from VASP.

Geometry as Quantum ESPRESSO input:
```
&SYSTEM
  ibrav = 0, nat = 4, ntyp = 3
/
ATOMIC_SPECIES
Ba 137.33 Ba.upf
Tc 98.00 Tc.upf
Y 88.91 Y.upf
CELL_PARAMETERS angstrom
9.602 0.004 0.002
9.012 3.316 0.002
9.012 1.608 2.901
ATOMIC_POSITIONS crystal
Ba 0.750 0.750 0.750
Tc 0.994 0.994 0.994
Tc 0.506 0.506 0.506
Y 0.250 0.250 0.250
```

Computed properties:
DFT formation energy in eV per atom: 0.997
Magnetization in μB per cell: 1.63
SG: No. 166
D(E_F) in states/eV per atom: 1.312


[5]
Material: BaZn2Tc
Method: DFT, PBE
State: optimized geometry Values from VASP.

Geometry as Quantum ESPRESSO input:
```
&SYSTEM
  ibrav = 0, nat = 4, ntyp = 3
/
ATOMIC_SPECIES
Ba 137.33 Ba.upf
Tc 98.00 Tc.upf
Zn 65.41 Zn.upf
CELL_PARAMETERS angstrom
0.000 3.557 3.557
3.557 0.000 3.557
3.557 3.557 0.000
ATOMIC_POSITIONS crystal
Ba 0.500 0.500 0.500
Tc 0.000 0.000 0.000
Zn 0.250 0.250 0.250
Zn 0.750 0.750 0.750
```

Computed properties:
DFT formation energy in eV per atom: 0.637
Magnetization in μB per cell: 1.82
SG: No. 225
D(E_F) in states/eV per atom: 0.980


[6]
Material: BaZnTc2
Method: DFT, PBE
State: optimized geometry Values from VASP.

Geometry as Quantum ESPRESSO input:
```
&SYSTEM
  ibrav = 0, nat = 4, ntyp = 3
/
ATOMIC_SPECIES
Ba 137.33 Ba.upf
Zn 65.41 Zn.upf
Tc 98.00 Tc.upf
CELL_PARAMETERS angstrom
-9.345 -4.421 0.675
-8.008 -5.929 2.839
-9.216 -3.289 3.404
ATOMIC_POSITIONS crystal
Ba 0.750 0.750 0.750
Zn 0.250 0.250 0.250
Tc 0.986 0.986 0.986
Tc 0.514 0.514 0.514
```

Computed properties:
DFT formation energy in eV per atom: 1.068
Magnetization in μB per cell: 0.41
SG: No. 166
D(E_F) in states/eV per atom: 1.626


[7]
Material: BaZnTc2
Method: DFT, PBE
State: optimized geometry Values from VASP.

Geometry as Quantum ESPRESSO input:
```
&SYSTEM
  ibrav = 0, nat = 4, ntyp = 3
/
ATOMIC_SPECIES
Tc 98.00 Tc.upf
Ba 137.33 Ba.upf
Zn 65.41 Zn.upf
CELL_PARAMETERS angstrom
-0.739 -0.653 -2.962
3.555 -3.736 -0.062
-3.306 -3.170 1.523
ATOMIC_POSITIONS crystal
Tc 0.000 0.000 0.000
Tc 0.500 0.500 0.000
Ba 0.000 0.500 0.500
Zn 0.500 0.000 0.500
```

Computed properties:
DFT formation energy in eV per atom: 1.082
Magnetization in μB per cell: 1.26
SG: No. 47
D(E_F) in states/eV per atom: 1.317


[8]
Material: BaZnTc2
Method: DFT, PBE
State: optimized geometry Values from VASP.

Geometry as Quantum ESPRESSO input:
```
&SYSTEM
  ibrav = 0, nat = 4, ntyp = 3
/
ATOMIC_SPECIES
Ba 137.33 Ba.upf
Zn 65.41 Zn.upf
Tc 98.00 Tc.upf
CELL_PARAMETERS angstrom
4.063 0.000 0.000
0.000 3.108 0.011
0.000 1.010 7.133
ATOMIC_POSITIONS crystal
Ba 0.500 0.753 0.745
Zn 0.000 0.369 0.437
Tc 0.500 0.372 0.199
Tc 0.000 0.006 0.119
```

Computed properties:
DFT formation energy in eV per atom: 0.465
Magnetization in μB per cell: 0.00
SG: No. 6
D(E_F) in states/eV per atom: 0.796